# 1
{
  "formula": "Tb6Ho",
  "functional": "PBE",
  "state": "optimized geometry",
  "crystal_system": "cubic",
  "volume_a3_per_cell": 256.2,
  "polymorph_energy_ev_per_atom": 1.199,
  "dos_ef_per_ev_atom": 0.890,
  "space_group": "Im-3m",
  "delta_e_f_ev_per_atom": 1.463,
  "cell": [[-4.001, 4.001, 4.001], [4.001, -4.001, 4.001], [4.001, 4.001, -4.001]],
  "species": ["Tb", "Tb", "Tb", "Tb", "Tb", "Tb", "Ho"],
  "frac_coords": [[0.250, 0.500, 0.750], [0.250, 0.750, 0.500], [0.500, 0.250, 0.750], [0.500, 0.750, 0.250], [0.750, 0.250, 0.500], [0.750, 0.500, 0.250], [0.000, 0.000, 0.000]]
}


# 2
{
  "formula": "SrAsOs",
  "functional": "PBE",
  "state": "optimized geometry",
  "crystal_system": "cubic",
  "volume_a3_per_cell": 69.2,
  "dos_ef_per_ev_atom": 0.953,
  "space_group": "F-43m",
  "delta_e_f_ev_per_atom": 0.523,
  "cell": [[0.000, 3.259, 3.259], [3.259, 0.000, 3.259], [3.259, 3.259, 0.000]],
  "species": ["Sr", "As", "Os"],
  "frac_coords": [[0.000, 0.000, 0.000], [0.500, 0.500, 0.500], [0.750, 0.750, 0.750]]
}


# 3
{
  "formula": "GaPb3N",
  "functional": "PBE",
  "state": "optimized geometry",
  "crystal_system": "cubic",
  "volume_a3_per_cell": 156.8,
  "polymorph_energy_ev_per_atom": 0.866,
  "dos_ef_per_ev_atom": 0.670,
  "space_group": "Pm-3m",
  "formation_energy_uncorrected_kj_per_mol_atoms": 137.0,
  "cell": [[5.392, 0.000, 0.000], [0.000, 5.392, 0.000], [0.000, 0.000, 5.392]],
  "species": ["Ga", "Pb", "Pb", "Pb", "N"],
  "frac_coords": [[0.000, 0.000, 0.000], [0.000, 0.000, 0.500], [0.000, 0.500, 0.000], [0.500, 0.000, 0.000], [0.500, 0.500, 0.500]]
}


What is the formula in the third record? GaPb3N


What is the formula in the third record? GaPb3N


What did the third record say?
{
  "formula": "GaPb3N",
  "functional": "PBE",
  "state": "optimized geometry",
  "crystal_system": "cubic",
  "volume_a3_per_cell": 156.8,
  "polymorph_energy_ev_per_atom": 0.866,
  "dos_ef_per_ev_atom": 0.670,
  "space_group": "Pm-3m",
  "formation_energy_uncorrected_kj_per_mol_atoms": 137.0,
  "cell": [[5.392, 0.000, 0.000], [0.000, 5.392, 0.000], [0.000, 0.000, 5.392]],
  "species": ["Ga", "Pb", "Pb", "Pb", "N"],
  "frac_coords": [[0.000, 0.000, 0.000], [0.000, 0.000, 0.500], [0.000, 0.500, 0.000], [0.500, 0.000, 0.000], [0.500, 0.500, 0.500]]
}